A plane-wave DFT calculation with GGA+U was carried out for a relaxed Ba2TmMn2O6 crystal.

a b c (Å): 6.031 6.031 6.653
angles (deg): 63.04 63.04 60.00
Fractional coordinates of all 11 atoms:
O1 0.246 0.246 0.752
O2 0.246 0.756 0.752
O3 0.244 0.754 0.248
O4 0.754 0.244 0.248
O5 0.756 0.246 0.752
O6 0.754 0.754 0.248
Mn1 0.559 0.559 0.323
Mn2 0.441 0.441 0.677
Ba1 0.780 0.780 0.661
Ba2 0.220 0.220 0.339
Tm1 0.000 0.000 0.000

Computed properties:
SG: No. 166
Raw total energy (eV for the cell shown): -74.122
Total magnetization (μB/f.u.): 3.00
Theoretical density (g/cm3): 6.0